No. 1
First-principles (PBE-GGA) data for an optimized crystal structure of Mg6TlCu2, as listed in Alexandria via LeMat-Bulk.

Lattice parameters (Å, degrees): 7.8460 7.8460 7.8460 102.22 111.37 115.09
Positions (direct):
Mg (0.5222, 0.8118, 0.7104)
Mg (0.4778, 0.1882, 0.2896)
Mg (0.1014, 0.8118, 0.2896)
Mg (0.8986, 0.1882, 0.7104)
Mg (0.7921, 0.0406, 0.2486)
Mg (0.2079, 0.9594, 0.7514)
Mg (0.2079, 0.4565, 0.2486)
Mg (0.7921, 0.5435, 0.7514)
Mg (0.6949, 0.3284, 0.0232)
Mg (0.3051, 0.6716, 0.9768)
Mg (0.3051, 0.3284, 0.6335)
Mg (0.6949, 0.6716, 0.3665)
Tl (0.0000, 0.5000, 0.5000)
Tl (0.0000, 0.0000, 0.0000)
Cu (0.5000, 0.1239, 0.6239)
Cu (0.5000, 0.8761, 0.3761)
Cu (0.6563, 0.6563, 0.0000)
Cu (0.3437, 0.3437, 0.0000)

Computed properties:
Energy of formation: -0.0627 eV per atom
Magnetic moment: 0.00 μB/f.u.
Mass density: 4.3 g/cm³

***

No. 2
First-principles (PBE-GGA) data for an optimized crystal structure of MgTl2Cu, as listed in Alexandria via LeMat-Bulk.

Lattice parameters (Å, degrees): 4.1137 3.5319 6.8558 67.57 90.00 90.00
Positions (direct):
Cu (0.5000, 0.2500, 0.2500)
Mg (0.5000, 0.7500, 0.7500)
Tl (0.0000, 0.0766, 0.0161)
Tl (0.0000, 0.4234, 0.4839)

Computed properties:
Energy of formation: 0.1737 eV per atom
Energy relative to the lowest polymorph listed for this composition: 0.050 eV per atom
Magnetic moment: 0.00 μB/f.u.
Mass density: 9.0 g/cm³

***

No. 3
First-principles (PBE-GGA) data for an optimized crystal structure of MgTl2Cu2, as listed in Alexandria via LeMat-Bulk.

Lattice parameters (Å, degrees): 7.9593 7.9593 3.3033 90.00 90.00 90.00
Positions (direct):
Tl (0.3290, 0.8290, 0.0000)
Tl (0.8290, 0.6710, 0.0000)
Tl (0.6710, 0.1710, 0.0000)
Tl (0.1710, 0.3290, 0.0000)
Mg (0.0000, 0.0000, 0.0000)
Mg (0.5000, 0.5000, 0.0000)
Cu (0.1197, 0.6197, 0.5000)
Cu (0.6197, 0.8803, 0.5000)
Cu (0.8803, 0.3803, 0.5000)
Cu (0.3803, 0.1197, 0.5000)

Computed properties:
Energy of formation: 0.2826 eV per atom
Energy relative to the lowest polymorph listed for this composition: 0.125 eV per atom
Magnetic moment: 0.00 μB/f.u.
Mass density: 8.9 g/cm³

***

No. 4
First-principles (PBE-GGA) data for an optimized crystal structure of MgTl2Cu, as listed in Alexandria via LeMat-Bulk.

Lattice parameters (Å, degrees): 5.0973 5.0973 5.0973 60.00 60.00 60.00
Positions (direct):
Cu (0.5000, 0.5000, 0.5000)
Mg (0.7500, 0.7500, 0.7500)
Tl (0.0000, 0.0000, 0.0000)
Tl (0.2500, 0.2500, 0.2500)

Computed properties:
Energy of formation: 0.2376 eV per atom
Energy relative to the lowest polymorph listed for this composition: 0.114 eV per atom
Magnetic moment: 0.00 μB/f.u.
Mass density: 8.8 g/cm³

***

No. 5
First-principles (PBE-GGA) data for an optimized crystal structure of MgTl2Cu, as listed in Alexandria via LeMat-Bulk.

Lattice parameters (Å, degrees): 4.7350 4.7292 4.0341 90.00 90.00 90.00
Positions (direct):
Cu (0.5000, 0.0000, 0.5000)
Mg (0.0000, 0.5000, 0.5000)
Tl (0.0000, 0.0000, 0.0000)
Tl (0.5000, 0.5000, 0.0000)

Computed properties:
Energy of formation: 0.1736 eV per atom
Energy relative to the lowest polymorph listed for this composition: 0.050 eV per atom
Magnetic moment: 0.00 μB/f.u.
Mass density: 9.1 g/cm³

***

No. 6
First-principles (PBE-GGA) data for an optimized crystal structure of MgTlCu, as listed in Alexandria via LeMat-Bulk.

Lattice parameters (Å, degrees): 4.6055 4.6055 3.2846 90.00 90.00 120.00
Positions (direct):
Cu (0.0000, 0.0000, 0.8341)
Mg (0.6667, 0.3333, 0.3331)
Tl (0.3333, 0.6667, 0.8328)

Computed properties:
Energy of formation: 0.1045 eV per atom
Magnetic moment: 0.00 μB/f.u.
Mass density: 8.0 g/cm³

***

No. 7
First-principles (PBE-GGA) data for an optimized crystal structure of Mg3TlCu, as listed in Alexandria via LeMat-Bulk.

Lattice parameters (Å, degrees): 4.9687 4.9687 4.9687 90.00 90.00 90.00
Positions (direct):
Tl (0.5000, 0.5000, 0.5000)
Mg (0.0000, 0.5000, 0.0000)
Mg (0.0000, 0.0000, 0.5000)
Mg (0.5000, 0.0000, 0.0000)
Cu (0.0000, 0.0000, 0.0000)

Computed properties:
Energy of formation: 0.0756 eV per atom
Energy relative to the lowest polymorph listed for this composition: 0.000 eV per atom
Magnetic moment: 0.00 μB/f.u.
Mass density: 4.6 g/cm³

***

No. 8
First-principles (PBE-GGA) data for an optimized crystal structure of MgTl2Cu, as listed in Alexandria via LeMat-Bulk.

Lattice parameters (Å, degrees): 8.0378 8.0378 6.4532 51.48 51.48 90.00
Positions (direct):
Tl (0.6699, 0.1250, 0.2500)
Tl (0.0801, 0.6250, 0.2500)
Tl (0.3750, 0.3301, 0.7500)
Tl (0.8750, 0.9199, 0.7500)
Mg (0.5000, 0.5000, 0.0000)
Mg (0.2500, 0.7500, 0.5000)
Cu (0.0000, 0.0000, 0.0000)
Cu (0.7500, 0.2500, 0.5000)

Computed properties:
Energy of formation: 0.2162 eV per atom
Energy relative to the lowest polymorph listed for this composition: 0.092 eV per atom
Magnetic moment: 0.00 μB/f.u.
Mass density: 8.4 g/cm³

***

No. 9
First-principles (PBE-GGA) data for an optimized crystal structure of MgTl2Cu, as listed in Alexandria via LeMat-Bulk.

Lattice parameters (Å, degrees): 5.6826 5.6826 5.6826 135.03 135.03 65.48
Positions (direct):
Cu (0.5000, 0.5000, 0.0000)
Mg (0.7500, 0.2500, 0.5000)
Tl (0.0000, 0.0000, 0.0000)
Tl (0.2500, 0.7500, 0.5000)

Computed properties:
Energy of formation: 0.1802 eV per atom
Energy relative to the lowest polymorph listed for this composition: 0.056 eV per atom
Magnetic moment: 0.00 μB/f.u.
Mass density: 9.1 g/cm³

***

No. 10
First-principles (PBE-GGA) data for an optimized crystal structure of MgTl2Cu, as listed in Alexandria via LeMat-Bulk.

Lattice parameters (Å, degrees): 4.4851 3.7224 5.8510 70.76 90.00 90.00
Positions (direct):
Cu (0.0000, 0.6980, 0.4748)
Mg (0.5000, 0.5566, 0.7634)
Tl (0.0000, 0.9687, 0.9390)
Tl (0.5000, 0.2767, 0.3227)

Computed properties:
Energy of formation: 0.1381 eV per atom
Energy relative to the lowest polymorph listed for this composition: 0.014 eV per atom
Magnetic moment: 0.00 μB/f.u.
Mass density: 8.9 g/cm³

***

No. 11
First-principles (PBE-GGA) data for an optimized crystal structure of MgTl2Cu, as listed in Alexandria via LeMat-Bulk.

Lattice parameters (Å, degrees): 5.6778 5.6778 5.6778 142.41 122.22 71.00
Positions (direct):
Cu (0.2500, 0.7500, 0.5000)
Mg (0.7500, 0.2500, 0.5000)
Tl (0.0254, 0.0254, 0.0000)
Tl (0.4746, 0.4746, 0.0000)

Computed properties:
Energy of formation: 0.1676 eV per atom
Energy relative to the lowest polymorph listed for this composition: 0.044 eV per atom
Magnetic moment: 0.00 μB/f.u.
Mass density: 8.9 g/cm³

***

No. 12
First-principles (PBE-GGA) data for an optimized crystal structure of Mg4Tl3Cu, as listed in Alexandria via LeMat-Bulk.

Lattice parameters (Å, degrees): 3.3127 3.3127 16.5717 90.00 90.00 90.00
Positions (direct):
Mg (0.0000, 0.0000, 0.9084)
Mg (0.0000, 0.0000, 0.0916)
Mg (0.0000, 0.0000, 0.3646)
Mg (0.0000, 0.0000, 0.6354)
Tl (0.5000, 0.5000, 0.2287)
Tl (0.5000, 0.5000, 0.5000)
Tl (0.5000, 0.5000, 0.7713)
Cu (0.5000, 0.5000, 0.0000)

Computed properties:
Energy of formation: -0.0284 eV per atom
Magnetic moment: 0.00 μB/f.u.
Mass density: 7.1 g/cm³

***

Q: What is the magnetic moment in the second record?
A: 0.00 μB/f.u.

***

Copy entry 3 word for word.
First-principles (PBE-GGA) data for an optimized crystal structure of MgTl2Cu2, as listed in Alexandria via LeMat-Bulk.

Lattice parameters (Å, degrees): 7.9593 7.9593 3.3033 90.00 90.00 90.00
Positions (direct):
Tl (0.3290, 0.8290, 0.0000)
Tl (0.8290, 0.6710, 0.0000)
Tl (0.6710, 0.1710, 0.0000)
Tl (0.1710, 0.3290, 0.0000)
Mg (0.0000, 0.0000, 0.0000)
Mg (0.5000, 0.5000, 0.0000)
Cu (0.1197, 0.6197, 0.5000)
Cu (0.6197, 0.8803, 0.5000)
Cu (0.8803, 0.3803, 0.5000)
Cu (0.3803, 0.1197, 0.5000)

Computed properties:
Energy of formation: 0.2826 eV per atom
Energy relative to the lowest polymorph listed for this composition: 0.125 eV per atom
Magnetic moment: 0.00 μB/f.u.
Mass density: 8.9 g/cm³